First-principles (PBE-GGA) data for an optimized crystal structure of Co2AgCl, as listed in the Alexandria database.

abc: 4.513 4.513 2.943
angles: 90.00 90.00 90.47
Fractional positions:
Co1 0.000 0.500 0.000
Co2 0.500 0.000 0.000
Ag1 0.000 0.000 0.500
Cl1 0.500 0.500 0.500

Output
E_form (uncorrected)   2.9 eV/f.u.
Energy above the most stable polymorph in this dataset   515 meV per atom
Crystal system   orthorhombic


First-principles (PBE-GGA) data for an optimized crystal structure of Dy6Er2ThSc3, as listed in the Alexandria database.

abc: 6.036 6.036 11.450
angles: 95.04 95.04 120.00
Fractional positions:
Dy1 0.086 0.417 0.758
Dy2 0.245 0.245 0.242
Dy3 0.417 0.086 0.758
Dy4 0.583 0.914 0.242
Dy5 0.755 0.755 0.758
Dy6 0.914 0.583 0.242
Er1 0.333 0.667 0.500
Er2 0.667 0.333 0.500
Th1 0.000 0.000 0.500
Sc1 0.167 0.833 0.000
Sc2 0.500 0.500 0.000
Sc3 0.833 0.167 0.000

Output
ΔE_f   0.0520 eV per atom
Crystal system   monoclinic


First-principles (PBE-GGA) data for an optimized crystal structure of TlFeAsBr2, as listed in the Alexandria database.

abc: 5.452 5.452 4.536
angles: 90.00 90.00 90.00
Fractional positions:
Tl1 0.000 0.000 0.000
Fe1 0.500 0.500 0.500
As1 0.500 0.500 0.000
Br1 0.000 0.500 0.500
Br2 0.500 0.000 0.500

Output
E_form (uncorrected)   -0.4 eV/f.u.
Energy above the most stable polymorph in this dataset   0 meV per atom
Crystal system   tetragonal


First-principles (PBE-GGA) data for an optimized crystal structure of ThMg3Sn3, as listed in the Alexandria database.

abc: 9.214 9.214 4.830
angles: 90.00 90.00 120.00
Fractional positions:
Th1 0.333 0.667 0.250
Th2 0.667 0.333 0.750
Mg1 0.044 0.226 0.250
Mg2 0.182 0.956 0.250
Mg3 0.226 0.182 0.750
Mg4 0.774 0.818 0.250
Mg5 0.818 0.044 0.750
Mg6 0.956 0.774 0.750
Sn1 0.077 0.430 0.750
Sn2 0.352 0.923 0.750
Sn3 0.430 0.352 0.250
Sn4 0.570 0.648 0.750
Sn5 0.648 0.077 0.250
Sn6 0.923 0.570 0.250

Output
ΔE_f   -0.2480 eV per atom
Crystal system   hexagonal


First-principles (PBE-GGA) data for an optimized crystal structure of AcTlPtO6, as listed in the Alexandria database.

abc: 6.029 6.029 8.167
angles: 90.00 90.00 120.00
Fractional positions:
Ac1 0.333 0.667 0.250
Ac2 0.667 0.333 0.750
Tl1 0.000 0.000 0.000
Tl2 0.000 0.000 0.500
Pt1 0.333 0.667 0.750
Pt2 0.667 0.333 0.250
O1 0.062 0.388 0.615
O2 0.062 0.675 0.885
O3 0.325 0.388 0.885
O4 0.325 0.938 0.615
O5 0.388 0.062 0.115
O6 0.388 0.325 0.385
O7 0.612 0.675 0.615
O8 0.612 0.938 0.885
O9 0.675 0.062 0.385
O10 0.675 0.612 0.115
O11 0.938 0.325 0.115
O12 0.938 0.612 0.385

Output
E_form (uncorrected)   -10.1 eV/f.u.
Crystal system   trigonal


First-principles (PBE-GGA) data for an optimized crystal structure of Ho4B, as listed in the Alexandria database.

abc: 5.132 5.132 5.132
angles: 90.00 90.00 90.00
Fractional positions:
Ho1 0.000 0.000 0.000
Ho2 0.000 0.500 0.500
Ho3 0.500 0.000 0.500
Ho4 0.500 0.500 0.000
B1 0.500 0.500 0.500

Output
ΔE_f   0.0650 eV per atom
Crystal system   cubic


First-principles (PBE-GGA) data for an optimized crystal structure of AgPRu2, as listed in the Alexandria database.

abc: 4.319 4.319 3.045
angles: 90.00 90.00 90.00
Fractional positions:
Ag1 0.000 0.000 0.000
P1 0.500 0.500 0.000
Ru1 0.000 0.500 0.500
Ru2 0.500 0.000 0.500

Output
Energy above the most stable polymorph in this dataset   391 meV per atom
ΔE_f   0.3673 eV per atom
Crystal system   tetragonal


First-principles (PBE-GGA) data for an optimized crystal structure of SrLiIBr2, as listed in the Alexandria database.

abc: 8.167 4.818 9.873
angles: 90.00 92.62 90.00
Fractional positions:
Sr1 0.249 0.250 0.400
Sr2 0.751 0.750 0.600
Li1 0.061 0.750 0.100
Li2 0.939 0.250 0.900
I1 0.492 0.250 0.682
I2 0.508 0.750 0.318
Br1 0.007 0.750 0.354
Br2 0.176 0.250 0.077
Br3 0.824 0.750 0.923
Br4 0.993 0.250 0.646

Output
E_form (uncorrected)   -8.7 eV/f.u.
Energy above the most stable polymorph in this dataset   0 meV per atom
Crystal system   monoclinic


First-principles (PBE-GGA) data for an optimized crystal structure of Y2Zn2Ir, as listed in the Alexandria database.

abc: 9.162 9.162 9.162
angles: 157.81 157.81 31.59
Fractional positions:
Y1 0.093 0.093 0.000
Y2 0.907 0.907 0.000
Zn1 0.250 0.750 0.500
Zn2 0.750 0.250 0.500
Ir1 0.500 0.500 0.000

Output
Energy above the most stable polymorph in this dataset   189 meV per atom
ΔE_f   -0.3403 eV per atom
Crystal system   tetragonal


First-principles (PBE-GGA) data for an optimized crystal structure of Ti2NbIn2, as listed in the Alexandria database.

abc: 8.034 8.034 3.022
angles: 90.00 90.00 90.00
Fractional positions:
Ti1 0.117 0.383 0.000
Ti2 0.383 0.883 0.000
Ti3 0.617 0.117 0.000
Ti4 0.883 0.617 0.000
Nb1 0.000 0.000 0.000
Nb2 0.500 0.500 0.000
In1 0.180 0.680 0.500
In2 0.320 0.180 0.500
In3 0.680 0.820 0.500
In4 0.820 0.320 0.500

Output
Energy above the most stable polymorph in this dataset   274 meV per atom
ΔE_f   0.2072 eV per atom
Crystal system   tetragonal


First-principles (PBE-GGA) data for an optimized crystal structure of Na3MgI, as listed in the Alexandria database.

abc: 6.016 6.016 6.016
angles: 90.00 90.00 90.00
Fractional positions:
Na1 0.000 0.000 0.500
Na2 0.000 0.500 0.000
Na3 0.500 0.000 0.000
Mg1 0.500 0.500 0.500
I1 0.000 0.000 0.000

Output
E_form (uncorrected)   -0.7 eV/f.u.
Energy above the most stable polymorph in this dataset   0 meV per atom
Crystal system   cubic


First-principles (PBE-GGA) data for an optimized crystal structure of LiTa2Sb, as listed in the Alexandria database.

abc: 4.878 4.878 3.210
angles: 90.00 90.00 108.81
Fractional positions:
Li1 0.000 0.000 0.000
Ta1 0.000 0.500 0.500
Ta2 0.500 0.000 0.500
Sb1 0.500 0.500 0.000

Output
E_form (uncorrected)   1.2 eV/f.u.
Crystal system   orthorhombic


Number 1: calculated density 7.24 g/cm3, spin magnetization 4.02 Bohr magnetons per cell. Number 2: calculated density 7.83 g/cm3, spin magnetization 0.00 Bohr magnetons per cell. Number 3: calculated density 6.09 g/cm3, spin magnetization 1.95 Bohr magnetons per cell. Number 4: calculated density 6.18 g/cm3, spin magnetization 0.00 Bohr magnetons per cell. Number 5: calculated density 9.33 g/cm3, spin magnetization 1.26 Bohr magnetons per cell. Number 6: calculated density 8.24 g/cm3, spin magnetization 0.00 Bohr magnetons per cell. Number 7: calculated density 9.97 g/cm3, spin magnetization 0.00 Bohr magnetons per cell. Number 8: calculated density 3.26 g/cm3, spin magnetization 0.00 Bohr magnetons per cell. Number 9: calculated density 7.59 g/cm3, spin magnetization 0.00 Bohr magnetons per cell. Number 10: calculated density 7.12 g/cm3, spin magnetization 0.77 Bohr magnetons per cell. Number 11: calculated density 1.68 g/cm3, spin magnetization 0.00 Bohr magnetons per cell. Number 12: calculated density 11.27 g/cm3, spin magnetization 0.00 Bohr magnetons per cell.